Here is a relaxed structure of HfIn2CoO6 from the Alexandria database. Energies are from GGA+U.

CIF file:
```
data_HfIn2CoO6
_chemical_formula_sum 'Hf3 In6 Co3 O18'
_cell_length_a 5.4531
_cell_length_b 5.4531
_cell_length_c 14.5784
_cell_angle_alpha 90.00
_cell_angle_beta 90.00
_cell_angle_gamma 120.00
_symmetry_space_group_name_H-M 'R 3'
_symmetry_Int_Tables_number 146
_symmetry_space_group_name_Hall 'R 3'
loop_
_atom_site_label
_atom_site_type_symbol
_atom_site_fract_x
_atom_site_fract_y
_atom_site_fract_z
Hf1 Hf 0.0000 0.0000 0.0000
In1 In 0.0000 0.0000 0.2113
In2 In 0.0000 0.0000 0.7138
Co1 Co 0.0000 0.0000 0.4974
O1 O 0.0161 0.7136 0.1004
O2 O 0.0183 0.3726 0.2692
```

The density of states at the Fermi level is 0.000 states/eV per atom. The density comes out at 7.47 g/cm³. Its energy is -7.017 eV/atom.